Entry 1:
The following is a GGA-PBE calculation of a relaxed structure of CeI, from Alexandria via LeMat-Bulk.

Lattice parameters (Å, degrees): 3.8829 3.8829 3.8829 90.00 90.00 90.00
With the nearest neighbours (Å) after each atom.
Fractional positions:
Ce 0.5000 0.5000 0.5000  8 I 3.36
I 0.0000 0.0000 0.0000  8 Ce 3.36

Values from the calculation:
space group: No. 221

Entry 2:
The following is a GGA-PBE calculation of a relaxed structure of CeI3, from Alexandria via LeMat-Bulk.

Lattice parameters (Å, degrees): 4.5911 6.2690 8.3115 112.17 90.00 90.00
With the nearest neighbours (Å) after each atom.
Fractional positions:
Ce 0.5000 0.2500 0.5000  6 I 3.13-3.16
I 0.5000 0.7500 0.5000  2 Ce 3.13
I 0.0000 0.1092 0.2186  2 Ce 3.16
I 0.0000 0.3908 0.7814  2 Ce 3.16

Values from the calculation:
space group: No. 65

Entry 3:
The following is a GGA-PBE calculation of a relaxed structure of Ce6I, from Alexandria via LeMat-Bulk.

Lattice parameters (Å, degrees): 6.6248 6.6248 6.6248 109.47 109.47 109.47
With the nearest neighbours (Å) after each atom.
Fractional positions:
Ce 0.2500 0.5000 0.7500  4 Ce 2.70
Ce 0.2500 0.7500 0.5000  4 Ce 2.70
Ce 0.7500 0.2500 0.5000  4 Ce 2.70
Ce 0.5000 0.7500 0.2500  4 Ce 2.70
I 0.0000 0.0000 0.0000  24 Ce 4.28
Ce 0.5000 0.2500 0.7500  4 Ce 2.70
Ce 0.7500 0.5000 0.2500  4 Ce 2.70

Values from the calculation:
space group: No. 229

no.,E_form (uncorrected) (eV per atom),calculated total energy (eV/atom)
1,-0.678,-4.420
2,-1.312,-3.958
3,0.740,-4.567